# 1
# PrNdOs

Crystalline PrNdOs at its relaxed geometry (PBE, OQMD).

Summary:
Space group: No. 216
E_form, eV per atom: 0.782

Lattice parameters (Å, degrees): 4.839 4.839 4.839 60.00 60.00 60.00
Fractional coordinates of all 3 atoms:
Os (0.750, 0.750, 0.750)
Pr (0.000, 0.000, 0.000)
Nd (0.250, 0.250, 0.250)


# 2
# TmBeAl

Crystalline TmBeAl at its relaxed geometry (PBE, OQMD).

Summary:
Space group: No. 216
Energy above the most stable polymorph in this dataset, meV/atom: 865

Lattice parameters (Å, degrees): 4.597 4.597 4.597 60.00 60.00 60.00
Fractional coordinates of all 3 atoms:
Al (0.250, 0.250, 0.250)
Be (0.750, 0.750, 0.750)
Tm (0.000, 0.000, 0.000)


# 3
# Er2Co

Crystalline Er2Co at its relaxed geometry (PBE, OQMD).

Summary:
Space group: No. 227
E_form, eV per atom: 1.017

Lattice parameters (Å, degrees): 7.815 7.815 7.815 60.00 60.00 60.00
Fractional coordinates of all 6 atoms:
Er (0.375, 0.375, 0.375)
Co (0.500, 0.500, 0.500)
Co (0.250, 0.250, 0.250)
Er (0.375, 0.875, 0.375)
Er (0.375, 0.375, 0.875)
Er (0.875, 0.375, 0.375)


# 4
# PaInBi2

Crystalline PaInBi2 at its relaxed geometry (PBE, OQMD).

Summary:
VASP energy, eV/atom: -5.233
Space group: No. 123

Lattice parameters (Å, degrees): 5.070 5.070 4.276 90.00 90.00 90.00
Each line ends with the local moment (μB).
Fractional coordinates of all 4 atoms:
Bi (0.500, 0.000, 0.000)  0.00
Pa (0.500, 0.500, 0.500)  0.08
Bi (0.000, 0.500, 0.000)  0.00
In (0.000, 0.000, 0.500)  0.00


# 5
# LaCuSe2

Crystalline LaCuSe2 at its relaxed geometry (PBE, OQMD).

Summary:
VASP energy, eV/atom: -4.968
Space group: No. 122

Lattice parameters (Å, degrees): 7.698 7.698 7.698 133.87 133.87 67.29
Fractional coordinates of all 8 atoms:
La (0.250, 0.750, 0.500)
Se (0.875, 0.318, 0.943)
Se (0.068, 0.125, 0.443)
Se (0.682, 0.625, 0.557)
La (0.500, 0.500, 0.000)
Cu (0.000, 0.000, 0.000)
Cu (0.750, 0.250, 0.500)
Se (0.375, 0.932, 0.057)


# 6
# BaNi5P3

Crystalline BaNi5P3 at its relaxed geometry (PBE, OQMD).

Summary:
VASP energy, eV/atom: -5.784
Space group: No. 63

Lattice parameters (Å, degrees): 6.235 6.235 11.776 90.00 90.00 145.94
Fractional coordinates of all 18 atoms:
Ni (0.551, 0.449, 0.645)
Ni (0.196, 0.804, 0.936)
Ni (0.000, 0.000, 0.000)
Ni (0.804, 0.196, 0.436)
Ni (0.449, 0.551, 0.145)
Ni (0.000, 0.000, 0.500)
Ba (0.835, 0.165, 0.750)
P (0.619, 0.381, 0.032)
P (0.619, 0.381, 0.468)
P (0.381, 0.619, 0.968)
Ni (0.196, 0.804, 0.564)
Ni (0.551, 0.449, 0.855)
P (0.889, 0.111, 0.250)
Ni (0.804, 0.196, 0.064)
Ni (0.449, 0.551, 0.355)
P (0.111, 0.889, 0.750)
P (0.381, 0.619, 0.532)
Ba (0.165, 0.835, 0.250)


# 7
# NbCdO3

Crystalline NbCdO3 at its relaxed geometry (PBE, OQMD).

Summary:
VASP energy, eV/atom: -7.010
Space group: No. 167

Lattice parameters (Å, degrees): 5.509 5.509 5.509 61.81 61.81 61.81
Fractional coordinates of all 10 atoms:
O (0.345, 0.155, 0.750)
O (0.155, 0.750, 0.345)
O (0.750, 0.345, 0.155)
Cd (0.750, 0.750, 0.750)
Cd (0.250, 0.250, 0.250)
O (0.845, 0.250, 0.655)
Nb (0.000, 0.000, 0.000)
O (0.250, 0.655, 0.845)
O (0.655, 0.845, 0.250)
Nb (0.500, 0.500, 0.500)


# 8
# Dy3HfPb2C2

Crystalline Dy3HfPb2C2 at its relaxed geometry (PBE, OQMD).

Summary:
VASP energy, eV/atom: -6.731
Space group: No. 156

Lattice parameters (Å, degrees): 3.548 3.548 15.854 90.00 90.00 120.00
Fractional coordinates of all 8 atoms:
Hf (0.333, 0.667, 0.082)
C (0.000, 0.000, 0.014)
Dy (0.667, 0.333, 0.582)
Dy (0.333, 0.667, 0.412)
Pb (0.667, 0.333, 0.239)
Dy (0.667, 0.333, 0.922)
C (0.000, 0.000, 0.496)
Pb (0.333, 0.667, 0.754)


Number 1: calculated volume 26.707 Å³ per atom. Number 2: calculated volume 22.904 Å³ per atom. Number 3: calculated volume 56.260 Å³ per atom. Number 4: calculated volume 27.481 Å³ per atom. Number 5: calculated volume 29.139 Å³ per atom. Number 6: calculated volume 14.244 Å³ per atom. Number 7: calculated volume 12.302 Å³ per atom. Number 8: calculated volume 21.608 Å³ per atom.